SrTi2Cu | GGA-PBE | relaxed

## Properties
E = -74.49 eV/cell
Space-group type = No. 122
Total moment = 0.000 μB/f.u.
ΔE_f = 736.5 meV/atom
Relative energy among the computed polymorphs = 0 meV/atom

abc: 4.4870 4.4870 20.1057
angles: 90.00 90.00 90.00
Closest atoms and distances in Å follow each position.
Positions (direct):
1 Sr 0.0000 0.0000 0.0000  4 Cu 3.17, 4 Ti 3.45
2 Sr 0.0000 0.5000 0.2500  4 Cu 3.17, 4 Ti 3.45
3 Sr 0.5000 0.0000 0.7500  4 Cu 3.17, 4 Ti 3.45
4 Sr 0.5000 0.5000 0.5000  4 Cu 3.17, 4 Ti 3.45
5 Ti 0.0352 0.7500 0.6250  2 Ti 2.27
6 Ti 0.2500 0.0352 0.3750  2 Ti 2.27
7 Ti 0.2500 0.4648 0.8750  2 Ti 2.27
8 Ti 0.4648 0.7500 0.1250  2 Ti 2.27
9 Ti 0.5352 0.2500 0.1250  2 Ti 2.27
10 Ti 0.7500 0.5352 0.8750  2 Ti 2.27
11 Ti 0.7500 0.9648 0.3750  2 Ti 2.27
12 Ti 0.9648 0.2500 0.6250  2 Ti 2.27
13 Cu 0.0000 0.0000 0.5000  4 Ti 2.76
14 Cu 0.0000 0.5000 0.7500  4 Ti 2.76
15 Cu 0.5000 0.0000 0.2500  4 Ti 2.76
16 Cu 0.5000 0.5000 0.0000  4 Ti 2.76